Entry from the Alexandria database: an optimized crystal structure of Al3CSe (PBE-GGA).

The structure belongs to space group Pm-3m (No. 221); the cell edges are 4.890, 4.890 and 4.890 Å and the angles 90.00°, 90.00° and 90.00°. Symmetry generates all atoms from Al at (0.000, 0.000, 0.500), C at (0.500, 0.500, 0.500) and Se at (0.000, 0.000, 0.000).

The density of states at the Fermi level is 4.2 states/eV/cell. The value obtained for the energy above the lowest structure with this stoichiometry is 1.530 eV/atom. Its crystal system is cubic. The value obtained for the raw formation energy is 1.87 eV/atom.